Record 1
# Pu2AlZn4Ga3 GGA-PBE optimized geometry
# Energy relative to the elements: -5.6 kcal/mol of atoms
# DOS at the Fermi energy: 23.63 states/eV per cell
data_Pu2AlZn4Ga3
_chemical_formula_sum 'Pu2 Al1 Zn4 Ga3'
_space_group_name_H-M_alt 'P -4 m 2'
_space_group_IT_number 115
_cell_length_a 4.1834
_cell_length_b 4.1834
_cell_length_c 10.7434
_cell_angle_alpha 90.00
_cell_angle_beta 90.00
_cell_angle_gamma 90.00
loop_
_space_group_symop_operation_xyz
'x,y,z'
'y,-x,-z'
'-x,-y,z'
'-y,x,-z'
'-x,y,z'
'-y,-x,-z'
'x,-y,z'
'y,x,-z'
loop_
_atom_site_label
_atom_site_fract_x
_atom_site_fract_y
_atom_site_fract_z
Pu1 0.0000 0.5000 0.2474
Al1 0.0000 0.0000 0.5000
Zn1 0.0000 0.0000 0.0000
Zn2 0.0000 0.5000 0.6381
Zn3 0.5000 0.5000 0.0000
Ga1 0.0000 0.5000 0.8635
Ga2 0.5000 0.5000 0.5000

Record 2
# PtRhBr2 GGA-PBE optimized geometry
# Formation energy from raw total energies: 0.5745 eV/atom
# Polymorph energy (0 for the lowest one): 0.6077 eV/atom
# DOS at the Fermi energy: 12.49 states/eV per cell
data_PtRhBr2
_chemical_formula_sum 'Pt4 Rh4 Br8'
_space_group_name_H-M_alt 'I -4 2 d'
_space_group_IT_number 122
_space_group_name_Hall 'I -4 2bw'
_cell_length_a 6.8585
_cell_length_b 6.8585
_cell_length_c 6.9334
_cell_angle_alpha 90.00
_cell_angle_beta 90.00
_cell_angle_gamma 90.00
loop_
_atom_site_label
_atom_site_fract_x
_atom_site_fract_y
_atom_site_fract_z
Pt1 0.0000 0.0000 0.0000
Rh1 0.0000 0.0000 0.5000
Br1 0.2405 0.2500 0.6250

Record 3
# SrAcMgAg GGA-PBE optimized geometry
# Energy relative to the elements: -2.7 kcal/mol of atoms
# Polymorph energy (0 for the lowest one): 0.0459 eV/atom
# DOS at the Fermi energy: 14.17 states/eV per cell
data_SrAcMgAg
_chemical_formula_sum 'Sr4 Ac4 Mg4 Ag4'
_space_group_name_H-M_alt 'F -4 3 m'
_space_group_IT_number 216
_space_group_name_Hall 'F -4 2 3'
_cell_length_a 8.0911
_cell_length_b 8.0911
_cell_length_c 8.0911
_cell_angle_alpha 90.00
_cell_angle_beta 90.00
_cell_angle_gamma 90.00
loop_
_atom_site_label
_atom_site_fract_x
_atom_site_fract_y
_atom_site_fract_z
Sr1 0.0000 0.0000 0.0000
Ac1 0.0000 0.0000 0.5000
Mg1 0.2500 0.2500 0.2500
Ag1 0.2500 0.2500 0.7500

Record 4
# Mg4IrPd2 GGA-PBE optimized geometry
# Energy relative to the elements: -11.2 kcal/mol of atoms
# DOS at the Fermi energy: 6.98 states/eV per cell
data_Mg4IrPd2
_chemical_formula_sum 'Mg12 Ir3 Pd6'
_space_group_name_H-M_alt 'R -3 m'
_space_group_IT_number 166
_space_group_name_Hall '-R 3 2"'
_cell_length_a 4.4959
_cell_length_b 4.4959
_cell_length_c 21.3298
_cell_angle_alpha 90.00
_cell_angle_beta 90.00
_cell_angle_gamma 120.00
loop_
_atom_site_label
_atom_site_fract_x
_atom_site_fract_y
_atom_site_fract_z
Mg1 0.0000 0.0000 0.1214
Mg2 0.0000 0.0000 0.3737
Ir1 0.0000 0.0000 0.5000
Pd1 0.0000 0.0000 0.2468

> Which of these has the highest DOS at the Fermi energy?

Pu2AlZn4Ga3